# 1
RbAsIrBr2 after structural relaxation, computed with PBE-GGA. Values from VASP.

## Properties
Crystal system ... tetragonal
Raw formation energy ... -0.37 eV per atom

Structure (Quantum ESPRESSO input):
```
&SYSTEM
  ibrav = 0, nat = 5, ntyp = 4
/
ATOMIC_SPECIES
As 74.92 As.upf
Ir 192.22 Ir.upf
Br 79.90 Br.upf
Rb 85.47 Rb.upf
CELL_PARAMETERS angstrom
5.609 0.000 0.000
0.000 5.609 0.000
0.000 0.000 4.606
ATOMIC_POSITIONS crystal
As 0.000 0.000 0.500
Ir 0.000 0.000 0.000
Br 0.000 0.500 0.000
Br 0.500 0.000 0.000
Rb 0.500 0.500 0.500
```

# 2
CaHOF2 after structural relaxation, computed with PBE-GGA. Values from VASP.

## Properties
Crystal system ... tetragonal

Structure (Quantum ESPRESSO input):
```
&SYSTEM
  ibrav = 0, nat = 5, ntyp = 4
/
ATOMIC_SPECIES
H 1.01 H.upf
Ca 40.08 Ca.upf
O 16.00 O.upf
F 19.00 F.upf
CELL_PARAMETERS angstrom
4.380 0.000 0.000
0.000 4.380 0.000
0.000 0.000 5.039
ATOMIC_POSITIONS crystal
H 0.500 0.500 0.500
Ca 0.000 0.000 0.000
O 0.000 0.000 0.500
F 0.000 0.500 0.000
F 0.500 0.000 0.000
```

no.,total DFT energy (no corrections) (eV/atom)
1,-3.936
2,-4.012